(a)
Compound: HgIr2Pb
Source: the Alexandria database
Functional: PBE-GGA
Structure: relaxed

Output
Mass density = 16189 kg/m³

a = 10.703 Å, b = 10.703 Å, c = 10.703 Å
α = 16.01°, β = 16.01°, γ = 16.01°
Atoms (fractional coordinates):
Hg: 0.000 0.000 0.000
Ir: 0.256 0.256 0.256
Ir: 0.526 0.526 0.526
Pb: 0.780 0.780 0.780



(b)
Compound: HgIr2Pb
Source: the Alexandria database
Functional: PBE-GGA
Structure: relaxed

Output
Mass density = 16300 kg/m³

a = 6.023 Å, b = 6.023 Å, c = 6.023 Å
α = 103.33°, β = 103.33°, γ = 122.61°
Atoms (fractional coordinates):
Hg: 0.000 0.000 0.000
Hg: 0.750 0.250 0.500
Ir: 0.130 0.125 0.505
Ir: 0.375 0.870 0.995
Ir: 0.620 0.625 0.495
Ir: 0.875 0.380 0.005
Pb: 0.250 0.750 0.500
Pb: 0.500 0.500 0.000



Which one is most stable, and which one is least stable? (a) is the most stable of them, while (b) is the least stable.



(a)
Compound: HgIr2Pb
Source: the Alexandria database
Functional: PBE-GGA
Structure: relaxed

Output
Mass density = 17533 kg/m³

a = 4.771 Å, b = 3.195 Å, c = 5.327 Å
α = 90.00°, β = 112.48°, γ = 90.00°
Atoms (fractional coordinates):
Hg: 0.000 0.000 0.000
Ir: 0.500 0.000 0.500
Ir: 0.500 0.500 0.000
Pb: 0.000 0.500 0.500



(b)
Compound: HgIr2Pb
Source: the Alexandria database
Functional: PBE-GGA
Structure: relaxed

Output
Mass density = 17489 kg/m³

a = 8.882 Å, b = 8.882 Å, c = 8.882 Å
α = 20.50°, β = 20.50°, γ = 20.50°
Atoms (fractional coordinates):
Hg: 0.000 0.000 0.000
Ir: 0.249 0.249 0.249
Ir: 0.751 0.751 0.751
Pb: 0.500 0.500 0.500



Which one is most stable, and which one is least stable? (a) is the most stable of them, while (b) is the least stable.